Entry 1:
DFT (PBE) results for Sr3P after structural relaxation.

The structure in POSCAR format:
```
Sr3P
1.0
5.124 0.000 0.000
0.000 5.124 0.000
0.000 0.000 5.124
Sr P
3 1
Cartesian
0.000 0.000 2.562
0.000 2.562 0.000
2.562 0.000 0.000
2.562 2.562 2.562
```

Properties
Energy of formation: -0.206 eV per atom
Offset from the most stable computed form: 0.410 eV per atom
Symmetry: No. 221
Calculated volume: 33.63 Å³/atom
Total moment: 0.0 μB per formula unit



Entry 2:
DFT (PBE) results for SrP after structural relaxation.

The structure in POSCAR format:
```
SrP
1.0
8.453 0.000 0.000
0.000 8.453 0.000
0.000 0.000 8.453
Sr P
6 6
Cartesian
0.000 2.113 4.226
0.000 6.340 4.226
2.113 4.226 0.000
4.226 0.000 2.113
4.226 0.000 6.340
6.340 4.226 0.000
0.000 4.226 2.113
0.000 4.226 6.340
2.113 0.000 4.226
4.226 2.113 0.000
4.226 6.340 0.000
6.340 0.000 4.226
```

Properties
Energy of formation: -0.236 eV per atom
Symmetry: No. 223
Calculated volume: 50.33 Å³/atom
Total moment: 1.0 μB per formula unit



Entry 3:
DFT (PBE) results for SrP3 after structural relaxation.

The structure in POSCAR format:
```
SrP3
1.0
4.803 -1.728 0.000
4.803 1.728 0.000
-2.100 0.000 4.942
Sr P
1 3
Cartesian
0.000 0.000 0.000
0.684 0.000 2.983
3.753 0.000 2.471
6.822 0.000 1.959
```

Properties
Energy of formation: -0.369 eV per atom
Symmetry: No. 12
Calculated volume: 20.50 Å³/atom
Total moment: 0.0 μB per formula unit



Entry 4:
DFT (PBE) results for Sr5P after structural relaxation.

The structure in POSCAR format:
```
Sr5P
1.0
7.165 -2.008 0.000
7.165 2.008 0.000
-4.537 0.000 9.223
Sr P
5 1
Cartesian
0.000 0.000 0.000
3.714 0.000 2.119
2.797 0.000 5.615
6.997 0.000 3.608
6.080 0.000 7.104
-2.268 0.000 4.611
```

Properties
Energy of formation: -0.320 eV per atom
Offset from the most stable computed form: 0.000 eV per atom
Symmetry: No. 12
Calculated volume: 44.23 Å³/atom
Total moment: 0.0 μB per formula unit



Entry 5:
DFT (PBE) results for Sr3P after structural relaxation.

The structure in POSCAR format:
```
Sr3P
1.0
-2.033 5.978 3.636
2.033 -5.978 3.636
2.033 5.978 -3.636
Sr P
3 1
Cartesian
0.000 0.000 0.000
2.033 4.025 0.308
0.000 1.953 3.944
0.000 5.978 1.433
```

Properties
Energy of formation: -0.547 eV per atom
Offset from the most stable computed form: 0.069 eV per atom
Symmetry: No. 44
Calculated volume: 44.20 Å³/atom
Total moment: 0.0 μB per formula unit



Entry 6:
DFT (PBE) results for SrP3 after structural relaxation.

The structure in POSCAR format:
```
SrP3
1.0
0.000 3.459 3.459
3.459 0.000 3.459
3.459 3.459 0.000
Sr P
1 3
Cartesian
0.000 0.000 0.000
1.730 1.730 1.730
3.459 3.459 3.459
5.189 5.189 5.189
```

Properties
Energy of formation: 0.277 eV per atom
Symmetry: No. 225
Calculated volume: 20.70 Å³/atom
Total moment: 0.0 μB per formula unit



Entry 7:
DFT (PBE) results for SrP after structural relaxation.

The structure in POSCAR format:
```
SrP
1.0
0.000 3.451 3.451
3.451 0.000 3.451
3.451 3.451 0.000
Sr P
1 1
Cartesian
0.000 0.000 0.000
1.725 1.725 1.725
```

Properties
Energy of formation: -0.253 eV per atom
Symmetry: No. 216
Calculated volume: 41.09 Å³/atom
Total moment: 1.0 μB per formula unit



Entry 8:
DFT (PBE) results for SrP3 after structural relaxation.

The structure in POSCAR format:
```
SrP3
1.0
4.666 2.694 1.086
-4.666 2.694 1.086
0.000 -5.388 1.086
Sr P
1 3
Cartesian
0.000 0.000 0.000
-2.333 -1.347 1.086
-2.333 1.347 2.173
0.000 2.694 1.086
```

Properties
Energy of formation: 0.286 eV per atom
Symmetry: No. 166
Calculated volume: 20.49 Å³/atom
Total moment: 0.0 μB per formula unit



Entry 9:
DFT (PBE) results for SrP3 after structural relaxation.

The structure in POSCAR format:
```
SrP3
1.0
3.105 -7.850 0.000
3.105 7.850 0.000
0.000 0.000 4.023
Sr P
2 6
Cartesian
3.105 4.845 3.017
3.105 -4.845 1.006
2.024 1.688 3.017
3.105 2.538 1.006
2.024 -1.688 1.006
4.186 1.688 3.017
3.105 -2.538 3.017
4.186 -1.688 1.006
```

Properties
Energy of formation: -0.310 eV per atom
Symmetry: No. 63
Calculated volume: 24.52 Å³/atom
Total moment: 0.0 μB per formula unit



Entry 10:
DFT (PBE) results for SrP after structural relaxation.

The structure in POSCAR format:
```
SrP
1.0
-2.027 2.250 5.812
2.027 -2.250 5.812
2.027 2.250 -5.812
Sr P
2 2
Cartesian
0.000 1.125 1.432
2.027 1.125 4.380
2.027 1.125 -1.861
0.000 1.125 7.673
```

Properties
Energy of formation: -0.604 eV per atom
Symmetry: No. 74
Calculated volume: 26.51 Å³/atom
Total moment: 0.0 μB per formula unit



Entry 11:
DFT (PBE) results for Sr3P after structural relaxation.

The structure in POSCAR format:
```
Sr3P
1.0
4.085 0.000 0.000
0.000 4.243 0.000
0.000 0.000 10.448
Sr P
3 1
Cartesian
0.000 0.000 0.000
0.000 2.122 3.127
2.043 2.122 7.097
2.043 0.000 2.193
```

Properties
Energy of formation: -0.427 eV per atom
Offset from the most stable computed form: 0.188 eV per atom
Symmetry: No. 25
Calculated volume: 45.28 Å³/atom
Total moment: 0.2 μB per formula unit



Entry 12:
DFT (PBE) results for Sr3P2 after structural relaxation.

The structure in POSCAR format:
```
Sr3P2
1.0
0.000 6.737 4.744
6.097 0.000 4.744
6.097 6.737 0.000
Sr P
6 4
Cartesian
0.000 0.000 0.000
6.620 4.668 2.934
3.048 3.369 2.372
8.622 8.037 5.306
5.574 8.806 2.934
3.571 5.438 5.306
8.165 7.219 2.438
5.116 2.887 4.810
4.029 6.256 2.438
7.077 10.587 4.810
```

Properties
Energy of formation: -0.900 eV per atom
Offset from the most stable computed form: 0.148 eV per atom
Symmetry: No. 43
Calculated volume: 38.97 Å³/atom
Total moment: 0.0 μB per formula unit